No. 1
# LaTaSbI2, single point on PBEsol structure, DFT SCAN
data_LaTaSbI2
_cell_length_a 5.369
_cell_length_b 5.369
_cell_length_c 5.414
_cell_angle_alpha 90.00
_cell_angle_beta 90.00
_cell_angle_gamma 90.00
_space_group_name_H-M_alt 'P 4/m m m'
_space_group_IT_number 123
_space_group_name_Hall '-P 4 2'
loop_
_atom_site_label
_atom_site_type_symbol
_atom_site_fract_x
_atom_site_fract_y
_atom_site_fract_z
La1 La 0.000 0.000 0.000
Ta1 Ta 0.500 0.500 0.500
Sb1 Sb 0.500 0.500 0.000
I1 I 0.000 0.500 0.500
# Energy relative to the elements, uncorrected = 0.4 eV/f.u.
# Electronic total energy = -220.0 eV per formula unit
# ρ = 7.4 g/cm³
# Crystal system = tetragonal

=====

No. 2
# CdTc2Pt, single point on PBEsol structure, DFT SCAN
data_CdTc2Pt
_cell_length_a 3.787
_cell_length_b 3.787
_cell_length_c 8.466
_cell_angle_alpha 90.00
_cell_angle_beta 90.00
_cell_angle_gamma 90.00
_space_group_name_H-M_alt 'I 4/m m m'
_space_group_IT_number 139
_space_group_name_Hall '-I 4 2'
loop_
_atom_site_label
_atom_site_type_symbol
_atom_site_fract_x
_atom_site_fract_y
_atom_site_fract_z
Cd1 Cd 0.000 0.000 0.000
Tc1 Tc 0.000 0.500 0.250
Pt1 Pt 0.000 0.000 0.500
# Formation energy = 0.8 eV per formula unit
# Electronic total energy = -170.0 eV per formula unit
# ρ = 13.8 g/cm³
# Crystal system = tetragonal